# GGA+U YMnO3, optimized geometry
data_YMnO3
_chemical_formula_sum 'Y1 Mn1 O3'
_cell_length_a 3.8340
_cell_length_b 3.8340
_cell_length_c 3.8340
_cell_angle_alpha 90.00
_cell_angle_beta 90.00
_cell_angle_gamma 90.00
_symmetry_space_group_name_H-M 'P m -3 m'
_symmetry_Int_Tables_number 221
_symmetry_space_group_name_Hall '-P 4 2 3'
loop_
_atom_site_label
_atom_site_fract_x
_atom_site_fract_y
_atom_site_fract_z
Y1 0.0000 0.0000 0.0000
Mn1 0.5000 0.5000 0.5000
O1 0.0000 0.5000 0.5000
# Uncorrected energy, eV per cell: -40.252
# N(E_F), states/eV/f.u.: 0.4